The following is a DFT calculation (PBE) of a relaxed structure of YGaB.

Computed properties:
**Energy of formation from the pure elements**: -0.334 eV/atom

Cell: 10.207 3.627 6.509 Å, 90.00 127.25 90.00°
Space group C2/m (No. 12)
Inequivalent atoms, fractional coordinates:
Y 0.071 0.000 0.332
Ga 0.217 0.500 0.816
B 0.106 0.500 0.064

---

The following is a DFT calculation (PBE) of a relaxed structure of Y2GaB2.

Computed properties:
**Distance to the lowest polymorph of the same formula**: 64.4 kJ/mol of atoms
**Energy of formation from the pure elements**: 0.304 eV/atom

Cell: 3.149 3.149 17.433 Å, 90.00 90.00 90.00°
Space group I4/mmm (No. 139)
Inequivalent atoms, fractional coordinates:
Y 0.000 0.000 0.126
Ga 0.000 0.000 0.500
B 0.000 0.500 0.250

---

The following is a DFT calculation (PBE) of a relaxed structure of YGaB2.

Computed properties:
**Energy of formation from the pure elements**: 0.223 eV/atom

Cell: 4.105 4.105 14.269 Å, 90.00 90.00 90.00°
Space group I4_1/amd (No. 141, origin choice 2)
Inequivalent atoms, fractional coordinates:
Y 0.000 0.250 0.375
Ga 0.000 0.250 0.875
B 0.000 0.000 0.000

---

These records have calculated total energy values of -0.2103 -0.2042 -0.2017 Ha/atom, in the order they appear.
These records have density of states at the Fermi level values of 2.42 7.91 3.74 states/eV per cell, in the order they appear.